# PuFeCoGe3

A relaxed PuFeCoGe3 crystal (GGA-PBE, Alexandria via LeMat-Bulk).

The calculation puts the formation energy at -0.102 eV/atom. The electronic total energy comes out at -7.394 eV/atom. For the size of the total moment, the calculation gives 1.106 μB per atom.

Cell: 6.432 6.432 5.724 Å, 90.00 90.00 112.51°
Atoms (fractional coordinates):
1 Pu 0.247 0.753 0.750
2 Pu 0.753 0.247 0.250
3 Fe 0.453 0.547 0.250
4 Fe 0.547 0.453 0.750
5 Co 0.041 0.959 0.250
6 Co 0.959 0.041 0.750
7 Ge 0.247 0.753 0.250
8 Ge 0.250 0.250 0.000
9 Ge 0.250 0.250 0.500
10 Ge 0.750 0.750 0.000
11 Ge 0.750 0.750 0.500
12 Ge 0.753 0.247 0.750